Compound: Sr3Li5Tl6
Source: the Alexandria database
Functional: PBE-GGA
Structure: relaxed

Values from the calculation:
M_tot, μB per atom: 0.000
DFT total energy, eV/atom: -2.35
Space-group type: Pmmn

Cell: 4.9524 14.7791 10.1883 Å, 90.00 90.00 90.00°
Positions (direct):
Sr1 0.2500 0.0498 0.2433
Sr2 0.2500 0.4502 0.2433
Sr3 0.2500 0.7500 0.2592
Sr4 0.7500 0.2500 0.7408
Sr5 0.7500 0.5498 0.7567
Sr6 0.7500 0.9502 0.7567
Li1 0.2500 0.0879 0.8755
Li2 0.2500 0.4121 0.8755
Li3 0.2500 0.6308 0.5475
Li4 0.2500 0.7500 0.7787
Li5 0.2500 0.8692 0.5475
Li6 0.7500 0.1308 0.4525
Li7 0.7500 0.2500 0.2213
Li8 0.7500 0.3692 0.4525
Li9 0.7500 0.5879 0.1245
Li10 0.7500 0.9121 0.1245
Tl1 0.2500 0.0683 0.5879
Tl2 0.2500 0.2500 0.0464
Tl3 0.2500 0.2500 0.4185
Tl4 0.2500 0.4317 0.5879
Tl5 0.2500 0.6043 0.9797
Tl6 0.2500 0.8957 0.9797
Tl7 0.7500 0.1043 0.0203
Tl8 0.7500 0.3957 0.0203
Tl9 0.7500 0.5683 0.4121
Tl10 0.7500 0.7500 0.5815
Tl11 0.7500 0.7500 0.9536
Tl12 0.7500 0.9317 0.4121